[1]
## Rb2LiPdCl6 (GGA-PBE)

Data for a geometry-optimized Rb2LiPdCl6 structure.

Computed properties:
uncorrected formation energy: -1.2983 eV/atom
energy above the most stable polymorph in this dataset: 14 meV per atom
D(E_F): 1.39 states/eV per cell
size of the total moment: 0.919 μB/f.u.

a b c (Å): 7.1903 7.1903 7.1654
angles (deg): 59.89 59.89 90.00
Fractional coordinates of all 10 atoms:
Li 0.5000 0.5000 0.0000
Rb 0.7500 0.2500 0.5000
Rb 0.2500 0.7500 0.5000
Pd 0.0000 0.0000 0.0000
Cl 0.2592 0.2592 0.4817
Cl 0.7408 0.7408 0.5183
Cl 0.2330 0.2330 0.0000
Cl 0.7670 0.7670 0.0000
Cl 0.7670 0.2330 0.0000
Cl 0.2330 0.7670 0.0000



[2]
## AcTlGa (GGA-PBE)

Data for a geometry-optimized AcTlGa structure.

Computed properties:
formation energy: -287.3 meV/atom
energy above the most stable polymorph in this dataset: 173 meV per atom
D(E_F): 2.63 states/eV per cell
size of the total moment: 0.000 μB/f.u.

a b c (Å): 5.1427 5.1427 5.1427
angles (deg): 60.00 60.00 60.00
Fractional coordinates of all 3 atoms:
Ac 0.5000 0.5000 0.5000
Tl 0.0000 0.0000 0.0000
Ga 0.2500 0.2500 0.2500



[3]
## CsBeZnCO (GGA-PBE)

Data for a geometry-optimized CsBeZnCO structure.

Computed properties:
uncorrected formation energy: -0.2101 eV/atom
energy above the most stable polymorph in this dataset: 98 meV per atom
D(E_F): 5.48 states/eV per cell
size of the total moment: 0.083 μB/f.u.

a b c (Å): 5.1894 3.0769 12.8156
angles (deg): 90.00 108.02 90.00
Fractional coordinates of all 10 atoms:
Cs 0.0514 0.0000 0.7644
Cs 0.0514 0.5000 0.2644
Be 0.2313 0.0000 0.5237
Be 0.2313 0.5000 0.0237
Zn 0.7139 0.0000 0.9899
Zn 0.7139 0.5000 0.4899
C 0.4655 0.0000 0.4530
C 0.4655 0.5000 0.9530
O 0.1202 0.0000 0.0468
O 0.1202 0.5000 0.5468



[4]
## Nb6PtW (GGA-PBE)

Data for a geometry-optimized Nb6PtW structure.

Computed properties:
formation energy: -170.0 meV/atom
D(E_F): 6.59 states/eV per cell
size of the total moment: 0.000 μB/f.u.

a b c (Å): 4.6382 4.6382 7.3205
angles (deg): 71.53 71.53 90.00
Fractional coordinates of all 8 atoms:
Nb 0.7474 0.7474 0.5051
Nb 0.6237 0.1237 0.7526
Nb 0.1237 0.6237 0.7526
Nb 0.3763 0.8763 0.2474
Nb 0.2526 0.2526 0.4949
Nb 0.8763 0.3763 0.2474
Pt 0.0000 0.0000 0.0000
W 0.5000 0.5000 0.0000



[5]
## InGeO2 (GGA-PBE)

Data for a geometry-optimized InGeO2 structure.

Computed properties:
uncorrected formation energy: -1.0952 eV/atom
energy above the most stable polymorph in this dataset: 0 meV per atom
D(E_F): 0.41 states/eV per cell
size of the total moment: 0.000 μB/f.u.

a b c (Å): 6.7914 6.7914 6.7914
angles (deg): 27.50 27.50 27.50
Fractional coordinates of all 4 atoms:
Ge 0.0000 0.0000 0.0000
O 0.8915 0.8915 0.8915
O 0.1085 0.1085 0.1085
In 0.5000 0.5000 0.5000



[6]
## SrRu2Rh (GGA-PBE)

Data for a geometry-optimized SrRu2Rh structure.

Computed properties:
formation energy: 814.9 meV/atom
energy above the most stable polymorph in this dataset: 440 meV per atom
D(E_F): 6.86 states/eV per cell
size of the total moment: 3.879 μB/f.u.

a b c (Å): 4.6606 4.6606 4.6606
angles (deg): 60.00 60.00 60.00
Fractional coordinates of all 4 atoms:
Ru 0.2500 0.2500 0.2500
Ru 0.7500 0.7500 0.7500
Rh 0.5000 0.5000 0.5000
Sr 0.0000 0.0000 0.0000



Please write out number 6 again, unchanged.
## SrRu2Rh (GGA-PBE)

Data for a geometry-optimized SrRu2Rh structure.

Computed properties:
formation energy: 814.9 meV/atom
energy above the most stable polymorph in this dataset: 440 meV per atom
D(E_F): 6.86 states/eV per cell
size of the total moment: 3.879 μB/f.u.

a b c (Å): 4.6606 4.6606 4.6606
angles (deg): 60.00 60.00 60.00
Fractional coordinates of all 4 atoms:
Ru 0.2500 0.2500 0.2500
Ru 0.7500 0.7500 0.7500
Rh 0.5000 0.5000 0.5000
Sr 0.0000 0.0000 0.0000